No. 1
Entry from the Open Quantum Materials Database: RbHoHg after structural relaxation (GGA-PBE).

Computed properties:
Size of the total moment (μB per formula unit): 0.02
Final energy (eV per cell): -4.09

Cell lengths 5.360, 5.360, 5.360 Å; angles 60.00, 60.00, 60.00 degrees
Sites, in units of the cell vectors:
Hg  0.250  0.250  0.250
Rb  0.750  0.750  0.750
Ho  0.000  0.000  0.000

=====

No. 2
Entry from the Open Quantum Materials Database: Pr4CNF2 after structural relaxation (GGA-PBE).

Computed properties:
Size of the total moment (μB per formula unit): 0.00
Final energy (eV per cell): -53.74

Cell lengths 3.623, 3.623, 12.866 Å; angles 90.00, 90.00, 120.00 degrees
Sites, in units of the cell vectors:
C  0.000  0.000  0.000
Pr  0.333  0.667  0.890
F  0.333  0.667  0.261
Pr  0.667  0.333  0.395
F  0.667  0.333  0.739
Pr  0.333  0.667  0.605
Pr  0.667  0.333  0.110
N  0.000  0.000  0.500

=====

No. 3
Entry from the Open Quantum Materials Database: Pa5GeSe4 after structural relaxation (GGA-PBE).

Computed properties:
Size of the total moment (μB per formula unit): 1.87
Final energy (eV per cell): -76.81

Cell lengths 7.074, 7.074, 7.074 Å; angles 99.58, 99.58, 131.85 degrees
Each line ends with the local moment (μB).
Sites, in units of the cell vectors:
Se  0.800  0.399  0.197  -0.01
Pa  0.501  0.501  0.000  0.28
Se  0.202  0.603  0.803  -0.01
Pa  0.100  0.303  0.401  0.31
Ge  0.001  0.001  0.000  -0.01
Pa  0.303  0.901  0.202  0.31
Se  0.399  0.202  0.599  -0.01
Pa  0.901  0.699  0.599  0.31
Se  0.603  0.800  0.401  -0.01
Pa  0.699  0.100  0.798  0.31

=====

No. 4
Entry from the Open Quantum Materials Database: MgZnTeO after structural relaxation (GGA-PBE).

Computed properties:
Polymorph energy (0 for the lowest one) (meV/atom): 156.8

Cell lengths 5.855, 7.889, 7.712 Å; angles 90.00, 90.00, 90.00 degrees
Sites, in units of the cell vectors:
Mg  0.819  0.876  0.805
Zn  0.296  0.818  0.561
O  0.984  0.784  0.615
Te  0.492  0.603  0.859
Mg  0.181  0.376  0.695
Zn  0.796  0.682  0.439
O  0.016  0.284  0.885
Mg  0.319  0.624  0.195
Mg  0.681  0.124  0.305
Zn  0.204  0.182  0.061
O  0.484  0.716  0.385
Te  0.008  0.397  0.359
Te  0.508  0.103  0.641
O  0.516  0.216  0.115
Zn  0.704  0.318  0.939
Te  0.992  0.897  0.141

=====

No. 5
Entry from the Open Quantum Materials Database: Pr2YIn3AgPt2 after structural relaxation (GGA-PBE).

Computed properties:
Size of the total moment (μB per formula unit): 0.00
Final energy (eV per cell): -46.31

Cell lengths 3.959, 7.871, 7.871 Å; angles 119.81, 90.00, 90.00 degrees
Sites, in units of the cell vectors:
Pr  0.000  0.000  0.587
In  0.500  0.735  0.735
Y  0.000  0.413  0.413
Pt  0.500  0.661  0.336
Ag  0.000  0.002  0.002
In  0.500  0.004  0.263
Pr  0.000  0.587  0.000
In  0.500  0.263  0.004
Pt  0.500  0.336  0.661

=====

No. 6
Entry from the Open Quantum Materials Database: Dy3CdIn3AgPd after structural relaxation (GGA-PBE).

Computed properties:
Size of the total moment (μB per formula unit): 0.01
Final energy (eV per cell): -35.97

Cell lengths 7.918, 7.918, 3.896 Å; angles 90.00, 90.00, 120.00 degrees
Sites, in units of the cell vectors:
In  0.263  0.998  0.000
Ag  0.000  0.000  0.500
Pd  0.667  0.333  0.000
Dy  0.417  0.391  0.500
Dy  0.609  0.025  0.500
Cd  0.333  0.667  0.000
Dy  0.975  0.583  0.500
In  0.735  0.737  0.000
In  0.002  0.265  0.000

=====

No. 7
Entry from the Open Quantum Materials Database: Li2Nd2Ge3 after structural relaxation (GGA-PBE).

Computed properties:
Size of the total moment (μB per formula unit): 0.00
Final energy (eV per cell): -64.30

Cell lengths 9.625, 9.625, 6.922 Å; angles 90.00, 90.00, 153.35 degrees
Sites, in units of the cell vectors:
Li  0.810  0.190  0.939
Nd  0.448  0.552  0.750
Nd  0.342  0.658  0.250
Li  0.190  0.810  0.439
Li  0.190  0.810  0.061
Ge  0.062  0.938  0.933
Nd  0.552  0.448  0.250
Ge  0.938  0.062  0.067
Ge  0.938  0.062  0.433
Ge  0.720  0.280  0.250
Ge  0.280  0.720  0.750
Nd  0.658  0.342  0.750
Li  0.810  0.190  0.561
Ge  0.062  0.938  0.567

=====

No. 8
Entry from the Open Quantum Materials Database: Y2AgAuSe4 after structural relaxation (GGA-PBE).

Computed properties:
Size of the total moment (μB per formula unit): 0.00
Final energy (eV per cell): -42.22

Cell lengths 4.240, 4.240, 15.805 Å; angles 90.00, 90.00, 120.00 degrees
Sites, in units of the cell vectors:
Se  0.333  0.667  0.654
Se  0.333  0.667  0.346
Au  0.333  0.667  0.500
Se  0.000  0.000  0.843
Y  0.667  0.333  0.748
Ag  0.000  0.000  0.000
Y  0.667  0.333  0.252
Se  0.000  0.000  0.157